# 1
A plane-wave DFT calculation with GGA-PBE was carried out for Cs2AlPbAu after structural relaxation.

## Properties
Total energy (eV/atom): -2.232
Energy of formation (eV/atom): 0.25
Volume (Å³/cell): 288

a b c (Å): 7.526 7.526 5.084
angles (deg): 90.00 90.00 90.00
Space group P4/mmm (No. 123)
Symmetry-distinct sites (fractional):
Cs (0.000, 0.500, 0.000) x2
Al (0.000, 0.000, 0.500) x1
Pb (0.000, 0.000, 0.000) x1
Au (0.500, 0.500, 0.500) x1

---

# 2
A plane-wave DFT calculation with GGA-PBE was carried out for InAg2P after structural relaxation.

## Properties
Total energy (eV/atom): -3.226
Energy of formation (eV/atom): 0.24
Volume (Å³/cell): 232

a b c (Å): 3.2606 3.2606 25.2173
angles (deg): 90.00 90.00 120.00
Space group R-3m (No. 166, hexagonal axes)
Symmetry-distinct sites (fractional):
In (0.0000, 0.0000, 0.0000) x3
Ag (0.0000, 0.0000, 0.2411) x6
P (0.0000, 0.0000, 0.5000) x3

---

# 3
A plane-wave DFT calculation with GGA-PBE was carried out for BaNaAg10 after structural relaxation.

## Properties
Total energy (eV/atom): -2.727
Energy of formation (eV/atom): -0.08
Volume (Å³/cell): 268

a b c (Å): 4.705 5.685 10.020
angles (deg): 90.00 90.00 90.00
Space group Pmmm (No. 47)
Symmetry-distinct sites (fractional):
Ba (0.000, 0.000, 0.000) x1
Na (0.000, 0.500, 0.500) x1
Ag (0.000, 0.000, 0.344) x2
Ag (0.000, 0.500, 0.186) x2
Ag (0.500, 0.000, 0.500) x1
Ag (0.500, 0.249, 0.253) x4
Ag (0.500, 0.500, 0.000) x1

---

# 4
A plane-wave DFT calculation with GGA-PBE was carried out for GaAs2PbBr after structural relaxation.

## Properties
Total energy (eV/atom): -2.961
Volume (Å³/cell): 179
Formation energy without anion corrections (eV per formula unit): 2.9

a b c (Å): 5.478 5.478 5.961
angles (deg): 90.00 90.00 90.00
Space group P4/mmm (No. 123)
Symmetry-distinct sites (fractional):
Ga (0.000, 0.000, 0.000) x1
As (0.000, 0.500, 0.500) x2
Pb (0.500, 0.500, 0.500) x1
Br (0.500, 0.500, 0.000) x1

---

# 5
A plane-wave DFT calculation with GGA-PBE was carried out for BaLiMo2H after structural relaxation.

## Properties
Total energy (eV/atom): -5.033
Volume (Å³/cell): 88

a b c (Å): 3.988 3.988 5.535
angles (deg): 90.00 90.00 90.00
Space group P4/mmm (No. 123)
Symmetry-distinct sites (fractional):
Ba (0.000, 0.000, 0.000) x1
Li (0.500, 0.500, 0.000) x1
Mo (0.000, 0.500, 0.500) x2
H (0.000, 0.000, 0.500) x1

---

# 6
A plane-wave DFT calculation with GGA-PBE was carried out for Na3TeAs after structural relaxation.

## Properties
Total energy (eV/atom): -2.884
Volume (Å³/cell): 275
Formation energy without anion corrections (eV per formula unit): -2.7

a b c (Å): 4.867 6.340 8.919
angles (deg): 90.00 90.00 90.00
Space group Pmn2_1 (No. 31)
Symmetry-distinct sites (fractional):
Na (0.000, 0.149, 0.000) x2
Na (0.000, 0.199, 0.370) x2
Na (0.000, 0.704, 0.223) x2
Te (0.000, 0.582, 0.618) x2
As (0.000, 0.012, 0.686) x2

---

# 7
A plane-wave DFT calculation with GGA-PBE was carried out for LaSnHgPt after structural relaxation.

## Properties
Total energy (eV/atom): -4.463
Energy of formation (eV/atom): -0.65
Volume (Å³/cell): 382

a b c (Å): 7.254 7.254 7.254
angles (deg): 90.00 90.00 90.00
Space group F-43m (No. 216)
Symmetry-distinct sites (fractional):
La (0.000, 0.000, 0.000) x4
Sn (0.000, 0.000, 0.500) x4
Hg (0.250, 0.250, 0.750) x4
Pt (0.250, 0.250, 0.250) x4

---

# 8
A plane-wave DFT calculation with GGA-PBE was carried out for PmTi2Tl2O7 after structural relaxation.

## Properties
Total energy (eV/atom): -7.372
Volume (Å³/cell): 331
Formation energy without anion corrections (eV per formula unit): -28.5

a b c (Å): 5.510 5.453 11.136
angles (deg): 90.00 98.93 90.00
Space group C2/m (No. 12)
Symmetry-distinct sites (fractional):
Pm (0.000, 0.000, 0.000) x2
Ti (0.070, 0.500, 0.183) x4
Tl (0.174, 0.000, 0.389) x4
O (0.000, 0.500, 0.000) x2
O (0.104, 0.500, 0.359) x4
O (0.203, 0.253, 0.839) x8

---

# 9
A plane-wave DFT calculation with GGA-PBE was carried out for ZrFe2TcC after structural relaxation.

## Properties
Total energy (eV/atom): -9.181
Energy of formation (eV/atom): -0.17
Volume (Å³/cell): 62

a b c (Å): 3.884 3.884 4.113
angles (deg): 90.00 90.00 90.00
Space group P4/mmm (No. 123)
Symmetry-distinct sites (fractional):
Zr (0.000, 0.000, 0.000) x1
Fe (0.000, 0.500, 0.500) x2
Tc (0.500, 0.500, 0.000) x1
C (0.500, 0.500, 0.500) x1

---

# 10
A plane-wave DFT calculation with GGA-PBE was carried out for CrBRu2 after structural relaxation.

## Properties
Total energy (eV/atom): -8.449
Energy of formation (eV/atom): 0.26
Volume (Å³/cell): 200

a b c (Å): 6.634 6.634 4.539
angles (deg): 90.00 90.00 90.00
Space group I-42d (No. 122)
Symmetry-distinct sites (fractional):
Cr (0.000, 0.000, 0.000) x4
B (0.000, 0.000, 0.500) x4
Ru (0.157, 0.250, 0.625) x8

---

# 11
A plane-wave DFT calculation with GGA-PBE was carried out for PrCdRu after structural relaxation.

## Properties
Total energy (eV/atom): -4.911
Energy of formation (eV/atom): 0.08
Volume (Å³/cell): 301

a b c (Å): 7.808 5.600 7.285
angles (deg): 90.00 108.88 90.00
Space group C2/m (No. 12)
Symmetry-distinct sites (fractional):
Pr (0.122, 0.000, 0.347) x4
Cd (0.250, 0.250, 0.000) x4
Ru (0.027, 0.500, 0.674) x4

---

# 12
A plane-wave DFT calculation with GGA-PBE was carried out for BiRuN after structural relaxation.

## Properties
Total energy (eV/atom): -6.691
Volume (Å³/cell): 254
Formation energy without anion corrections (eV per formula unit): 1.4

a b c (Å): 10.589 3.195 7.529
angles (deg): 90.00 92.28 90.00
Space group C2/m (No. 12)
Symmetry-distinct sites (fractional):
Bi (0.128, 0.000, 0.363) x4
Ru (0.137, 0.000, 0.748) x4
N (0.124, 0.500, 0.863) x4

---

# 13
A plane-wave DFT calculation with GGA-PBE was carried out for KBa7 after structural relaxation.

## Properties
Total energy (eV/atom): -1.763
Energy of formation (eV/atom): 0.06
Volume (Å³/cell): 2102

a b c (Å): 12.809 12.809 12.809
angles (deg): 90.00 90.00 90.00
Space group Fm-3m (No. 225)
Symmetry-distinct sites (fractional):
K (0.000, 0.000, 0.000) x4
Ba (0.000, 0.000, 0.500) x4
Ba (0.000, 0.250, 0.250) x24